First-principles (PBE) data for crystalline CaMgGe2O6 at its relaxed geometry, as listed in Alexandria.

Computed properties:
Formation energy from raw total energies   -2.196 eV per atom
DOS at the Fermi energy   0.0 states/eV/cell
V   12.742 Å³/atom
Theoretical density   4.0 g/cm³

Lattice parameters (Å, degrees): 9.9588 9.7525 5.3344 90.00 100.33 90.00
Space group C2/c (No. 15)
Inequivalent atoms, fractional coordinates:
Ca 0.0000 0.1000 0.2500
Mg 0.0000 0.2770 0.7500
Ge 0.1986 0.4099 0.2731
O 0.1113 0.2781 0.1021
O 0.1226 0.1031 0.6623
O 0.1481 0.4329 0.5875

First-principles (PBE) data for crystalline SrGa2SnAu4 at its relaxed geometry, as listed in Alexandria.

Computed properties:
Energy relative to the elements   -0.368 eV/atom
DOS at the Fermi energy   13.3 states/eV/cell
V   22.356 Å³/atom
Theoretical density   10.5 g/cm³

Lattice parameters (Å, degrees): 4.4388 4.4388 31.4450 90.00 90.00 120.00
Space group R-3m (No. 166, hexagonal axes)
Inequivalent atoms, fractional coordinates:
Sr 0.0000 0.0000 0.0000
Ga 0.0000 0.0000 0.2538
Sn 0.0000 0.0000 0.5000
Au 0.0000 0.0000 0.1200
Au 0.0000 0.0000 0.3989

First-principles (PBE) data for crystalline Ca2ReP at its relaxed geometry, as listed in Alexandria.

Computed properties:
Energy relative to the elements   0.225 eV/atom
DOS at the Fermi energy   1.4 states/eV/cell
V   20.380 Å³/atom
Theoretical density   6.1 g/cm³

Lattice parameters (Å, degrees): 2.9552 3.9920 6.9102 90.00 90.00 90.00
Space group Pmmm (No. 47)
Inequivalent atoms, fractional coordinates:
Ca 0.0000 0.0000 0.2353
Re 0.5000 0.5000 0.5000
P 0.5000 0.5000 0.0000